No. 1
# AlS6Br2

An optimized crystal structure of AlS6Br2 (GGA-PBE, the Alexandria database).

As for the space group: P-1, No. 2. The magnetic moment is 0.114 μB/atom. The calculation puts the uncorrected formation energy at -220.0 meV per atom. For the total energy, the calculation gives -3.759 eV/atom.

Lattice parameters (Å, degrees): 3.806 8.438 8.783 67.87 82.35 87.97
Element x y z (fractional)
Al: 0.000 0.000 0.000
S: 0.082 0.704 0.559
S: 0.088 0.247 0.247
S: 0.142 0.976 0.737
S: 0.858 0.024 0.263
S: 0.912 0.753 0.753
S: 0.918 0.296 0.441
Br: 0.500 0.224 0.884
Br: 0.500 0.776 0.116


No. 2
# AlS8Br2

An optimized crystal structure of AlS8Br2 (GGA-PBE, the Alexandria database).

As for the space group: C2/m, No. 12. The magnetic moment is 0.079 μB/atom. The calculation puts the uncorrected formation energy at 1.2 meV per atom. For the total energy, the calculation gives -3.645 eV/atom.

Lattice parameters (Å, degrees): 6.631 6.631 13.571 91.28 91.28 74.91
Element x y z (fractional)
Al: 0.000 0.000 0.000
S: 0.015 0.015 0.786
S: 0.144 0.144 0.143
S: 0.168 0.654 0.028
S: 0.346 0.832 0.972
S: 0.654 0.168 0.028
S: 0.832 0.346 0.972
S: 0.856 0.856 0.857
S: 0.985 0.985 0.214
Br: 0.024 0.024 0.383
Br: 0.976 0.976 0.617


Computed V (Å³/f.u.) in order:
258.9 576.0